DFT (PBE-GGA) results for a geometry-optimized BaAsBr2 structure.

```
BaAsBr2
1.0
-2.531 -3.392 3.831
-5.362 1.060 1.650
-4.225 -3.480 -1.620
As Ba Br
1 1 2
Direct
0.000 0.000 0.000
0.500 0.500 0.500
0.250 0.250 0.250
0.750 0.750 0.750
```

Properties
space group	Fm-3m
E	-3.364	eV per atom
magnetic moment	3.000	Bohr magnetons per cell
raw formation energy	-884	meV/atom
crystal system	cubic

DFT (PBE-GGA) results for a geometry-optimized Ba4AsBr3 structure.

```
Ba4AsBr3
1.0
4.766 0.000 0.000
0.000 7.821 -2.673
0.000 -0.071 8.265
As Ba Br
1 4 3
Direct
0.500 0.000 0.000
0.000 0.229 0.229
0.500 0.762 0.238
0.000 0.771 0.771
0.500 0.238 0.762
0.000 0.000 0.500
0.500 0.500 0.500
0.000 0.500 0.000
```

Properties
space group	Cmmm
E	-3.768	eV per atom
magnetic moment	0.000	Bohr magnetons per cell
raw formation energy	-1599	meV/atom
crystal system	orthorhombic

DFT (PBE-GGA) results for a geometry-optimized BaAsBr2 structure.

```
BaAsBr2
1.0
4.201 0.000 0.000
0.000 6.217 0.000
0.000 0.000 4.718
As Ba Br
1 1 2
Direct
0.500 0.000 0.500
0.000 0.500 0.500
0.000 0.000 0.000
0.500 0.500 0.000
```

Properties
space group	Pmmm
E	-3.388	eV per atom
magnetic moment	0.000	Bohr magnetons per cell
raw formation energy	-908	meV/atom
crystal system	orthorhombic

DFT (PBE-GGA) results for a geometry-optimized BaAsBr structure.

```
BaAsBr
1.0
-11.015 5.008 1.292
-1.614 -4.089 2.091
3.908 1.953 6.836
As Ba Br
4 4 4
Direct
0.601 0.000 0.452
0.601 0.500 0.952
0.656 0.000 0.770
0.656 0.500 0.270
0.867 0.000 0.503
0.867 0.500 0.003
0.432 0.000 0.055
0.432 0.500 0.555
0.002 0.000 0.213
0.002 0.500 0.713
0.286 0.000 0.662
0.286 0.500 0.162
```

Properties
space group	Cm
E	-4.126	eV per atom
magnetic moment	0.000	Bohr magnetons per cell
raw formation energy	-1377	meV/atom
crystal system	monoclinic

DFT (PBE-GGA) results for a geometry-optimized BaAs2Br structure.

```
BaAs2Br
1.0
-3.203 -0.535 3.195
-4.320 -0.797 -1.208
-1.155 -8.532 0.801
As Ba Br
2 1 1
Direct
0.051 0.051 0.838
0.721 0.721 0.827
0.492 0.492 0.529
0.236 0.236 0.306
```

Properties
space group	Cm
E	-4.127	eV per atom
magnetic moment	0.000	Bohr magnetons per cell
raw formation energy	-903	meV/atom
crystal system	monoclinic

DFT (PBE-GGA) results for a geometry-optimized Ba4As2Br5 structure.

```
Ba4As2Br5
1.0
-2.667 4.264 0.921
-7.150 -2.820 -7.652
-1.731 -5.936 8.261
Ba As Br
4 2 5
Direct
0.663 0.596 0.325
0.006 0.784 0.013
0.337 0.404 0.675
0.994 0.216 0.987
0.498 0.607 0.995
0.502 0.393 0.005
0.171 0.792 0.341
0.829 0.208 0.659
0.167 0.389 0.334
0.500 0.000 0.000
0.833 0.611 0.666
```

Properties
space group	C2/m
E	-3.999	eV per atom
magnetic moment	1.040	Bohr magnetons per cell
raw formation energy	-1694	meV/atom
crystal system	monoclinic

DFT (PBE-GGA) results for a geometry-optimized Ba5AsBr5 structure.

```
Ba5AsBr5
1.0
-4.038 -4.050 3.415
6.967 -3.541 -2.459
1.981 4.722 7.944
Ba As Br
5 1 5
Direct
0.842 0.683 0.160
0.843 0.686 0.681
0.500 0.000 0.000
0.157 0.314 0.319
0.158 0.317 0.840
0.000 0.000 0.000
0.672 0.344 0.337
0.668 0.336 0.830
0.000 0.000 0.500
0.332 0.664 0.170
0.328 0.656 0.663
```

Properties
space group	C2/m
E	-3.805	eV per atom
magnetic moment	0.000	Bohr magnetons per cell
raw formation energy	-1748	meV/atom
crystal system	monoclinic

DFT (PBE-GGA) results for a geometry-optimized Ba3As2Br structure.

```
Ba3As2Br
1.0
-5.746 -6.315 1.249
6.262 -0.965 -5.879
4.622 -3.129 5.436
Ba As Br
6 4 2
Direct
0.125 0.625 0.750
0.500 0.375 0.750
0.875 0.375 0.250
0.874 0.000 0.750
0.126 0.000 0.250
0.500 0.625 0.250
0.166 0.333 0.500
0.166 0.333 0.000
0.834 0.667 0.000
0.834 0.667 0.500
0.501 0.000 0.250
0.499 0.000 0.750
```

Properties
space group	Cmcm
E	-4.075	eV per atom
magnetic moment	0.000	Bohr magnetons per cell
raw formation energy	-1285	meV/atom
crystal system	orthorhombic

DFT (PBE-GGA) results for a geometry-optimized BaAs2Br structure.

```
BaAs2Br
1.0
-0.959 -2.298 -6.697
1.467 -6.361 -2.906
-3.029 3.354 5.535
As Ba Br
2 1 1
Direct
0.000 0.000 0.000
0.500 0.500 0.000
0.250 0.750 0.500
0.750 0.250 0.500
```

Properties
space group	I4/mmm
E	-3.840	eV per atom
magnetic moment	0.000	Bohr magnetons per cell
raw formation energy	-616	meV/atom
crystal system	tetragonal

DFT (PBE-GGA) results for a geometry-optimized BaAs2Br structure.

```
BaAs2Br
1.0
-2.521 2.604 2.491
-1.790 -3.544 1.892
7.562 -0.251 11.794
As Ba Br
4 2 2
Direct
0.531 0.125 0.250
0.219 0.625 0.250
0.375 0.469 0.750
0.875 0.781 0.750
0.000 0.000 0.000
0.750 0.250 0.500
0.500 0.500 0.000
0.250 0.750 0.500
```

Properties
space group	I-42d
E	-3.904	eV per atom
magnetic moment	0.000	Bohr magnetons per cell
raw formation energy	-681	meV/atom
crystal system	tetragonal

DFT (PBE-GGA) results for a geometry-optimized Ba6As3Br2 structure.

```
Ba6As3Br2
1.0
-3.375 0.953 -7.564
-4.290 -6.251 -3.468
-7.775 3.045 0.788
Ba As Br
6 3 2
Direct
0.406 0.666 0.781
0.741 0.000 0.782
0.072 0.334 0.781
0.259 0.000 0.218
0.594 0.334 0.219
0.928 0.666 0.219
0.000 0.000 0.000
0.333 0.333 0.000
0.667 0.667 0.000
0.167 0.667 0.500
0.833 0.333 0.500
```

Properties
space group	C2/m
E	-4.022	eV per atom
magnetic moment	1.000	Bohr magnetons per cell
raw formation energy	-1401	meV/atom
crystal system	monoclinic

DFT (PBE-GGA) results for a geometry-optimized BaAsBr3 structure.

```
BaAsBr3
1.0
5.573 0.000 0.000
0.000 5.573 0.000
0.000 0.000 5.573
Ba As Br
1 1 3
Direct
0.500 0.500 0.500
0.000 0.000 0.000
0.000 0.500 0.000
0.000 0.000 0.500
0.500 0.000 0.000
```

Properties
space group	Pm-3m
E	-3.143	eV per atom
magnetic moment	0.471	Bohr magnetons per cell
raw formation energy	-824	meV/atom
crystal system	cubic

Among the records above, which one has the lowest raw formation energy? Ba5AsBr5

Among the records above, which one has the lowest raw formation energy? Ba5AsBr5

Number 9 is which compound? BaAs2Br